Compound: AlCo2AsO6
Source: the Alexandria database
Functional: PBE+U
Structure: relaxed

a b c (Å): 4.9292 4.9292 4.6713
angles (deg): 90.00 90.00 90.00
Last column: nearest neighbours and their distance in Å.
Space group P4mm (No. 99)
Asymmetric unit:
Al: 0.0000 0.0000 0.0000 [1 per cell]  5 O 1.73-1.91
Co: 0.0000 0.5000 0.4011 [2 per cell]  4 O 2.10
As: 0.5000 0.5000 0.0165 [1 per cell]  5 O 1.70-1.83
O: 0.0000 0.0000 0.6287 [1 per cell]  1 Al 1.73
O: 0.2537 0.2537 0.1520 [4 per cell]  1 As 1.83, 1 Al 1.91
O: 0.5000 0.5000 0.6523 [1 per cell]  1 As 1.70

V in Å³/atom: 11.35
VASP energy in eV per atom: -6.19



Compound: AlCoAs2O8
Source: the Alexandria database
Functional: PBE+U
Structure: relaxed

a b c (Å): 6.4403 6.4403 6.1668
angles (deg): 90.00 90.00 90.00
Last column: nearest neighbours and their distance in Å.
Space group I-4m2 (No. 119)
Asymmetric unit:
Al: 0.0000 0.0000 0.0000 [2 per cell]  4 O 1.99
Co: 0.0000 0.5000 0.7500 [2 per cell]  4 O 2.03
As: 0.0000 0.0000 0.5000 [2 per cell]  4 O 1.72
As: 0.0000 0.5000 0.2500 [2 per cell]  4 O 1.72
O: 0.0000 0.1899 0.6950 [8 per cell]  1 As 1.72
O: 0.0000 0.3037 0.0600 [8 per cell]  1 As 1.72

V in Å³/atom: 10.66
VASP energy in eV per atom: -6.09



Compound: AlCo2AsO
Source: the Alexandria database
Functional: PBE+U
Structure: relaxed

a b c (Å): 4.5249 4.5249 3.8658
angles (deg): 90.00 90.00 90.00
Last column: nearest neighbours and their distance in Å.
Space group P4/mmm (No. 123)
Asymmetric unit:
Al: 0.0000 0.0000 0.0000 [1 per cell]  8 Co 2.98, 4 O 3.20
Co: 0.0000 0.5000 0.5000 [2 per cell]  2 As 2.26
As: 0.5000 0.5000 0.5000 [1 per cell]  2 O 1.93
O: 0.5000 0.5000 0.0000 [1 per cell]  2 As 1.93

V in Å³/atom: 15.83
VASP energy in eV per atom: -4.25



Compound: AlCoAs2O6
Source: the Alexandria database
Functional: PBE+U
Structure: relaxed

a b c (Å): 11.6584 8.3812 4.9623
angles (deg): 90.00 93.53 90.00
Last column: nearest neighbours and their distance in Å.
Space group C2/c (No. 15)
Asymmetric unit:
Al: 0.0000 0.2482 0.2500 [4 per cell]  6 O 1.85-2.05
Co: 0.0000 0.0798 0.7500 [4 per cell]  6 O 1.90-1.99
As: 0.1780 0.3927 0.7775 [8 per cell]  3 O 1.76-1.96
O: 0.0836 0.0881 0.4290 [8 per cell]  1 Al 1.85, 2 Co 1.90-1.92
O: 0.0890 0.2552 0.9347 [8 per cell]  1 As 1.76, 1 Al 1.93
O: 0.1064 0.4176 0.4276 [8 per cell]  2 As 1.89-1.96, 1 Al 2.05

V in Å³/atom: 12.10
VASP energy in eV per atom: -6.24